P) BaY3Au: optimized geometry, PBE-GGA.

a b c (Å): 5.706 5.706 5.706
angles (deg): 90.00 90.00 90.00
Atoms (fractional coordinates):
Y1 0.000 0.500 0.000
Y2 0.000 0.000 0.500
Y3 0.500 0.000 0.000
Au1 0.000 0.000 0.000
Ba1 0.500 0.500 0.500

Computed properties:
Its crystal system is cubic.

Q) BaY3Au: optimized geometry, PBE-GGA.

a b c (Å): 5.610 5.610 5.610
angles (deg): 90.00 90.00 90.00
Atoms (fractional coordinates):
Ba1 0.000 0.000 0.000
Y1 0.500 0.000 0.000
Y2 0.000 0.500 0.000
Y3 0.000 0.000 0.500
Au1 0.500 0.500 0.500

Computed properties:
Its crystal system is cubic.

Which is more stable than every other structure shown? P) is more stable than every other one.